1.
Nb4GaP | Alexandria via LeMat-Bulk | PBE-GGA | relaxed; E = -8.181 eV per atom; volume = 222.6 Å³ per cell; magnetic moment = 0.0 Bohr magnetons per cell
1.0
5.7233 0.0000 0.0000
0.0000 6.2401 0.0000
-1.0585 0.0000 6.2334
Nb Ga P
8 2 2
Direct
0.1162 0.1372 0.3853 Nb
0.1162 0.3628 0.8853 Nb
0.3794 0.6516 0.3251 Nb
0.3794 0.8484 0.8251 Nb
0.6206 0.1516 0.1749 Nb
0.6206 0.3484 0.6749 Nb
0.8838 0.6372 0.1147 Nb
0.8838 0.8628 0.6147 Nb
0.0000 0.0000 0.0000 Ga
0.0000 0.5000 0.5000 Ga
0.5000 0.0000 0.5000 P
0.5000 0.5000 0.0000 P

---

2.
NbGaP3 | Alexandria via LeMat-Bulk | PBE-GGA | relaxed; E = -5.540 eV per atom; energy relative to the lowest polymorph listed for this composition = 0 meV per atom; volume = 114.3 Å³ per cell; magnetic moment = 0.0 Bohr magnetons per cell
1.0
4.8538 0.0000 0.0000
0.0000 4.8538 0.0000
0.0000 0.0000 4.8538
Nb Ga P
1 1 3
Direct
0.0000 0.0000 0.0000 Nb
0.5000 0.5000 0.5000 Ga
0.0000 0.0000 0.5000 P
0.0000 0.5000 0.0000 P
0.5000 0.0000 0.0000 P

---

3.
NbGaP3 | Alexandria via LeMat-Bulk | PBE-GGA | relaxed; E = -4.802 eV per atom; energy relative to the lowest polymorph listed for this composition = 738 meV per atom; volume = 95.0 Å³ per cell; magnetic moment = 0.0 Bohr magnetons per cell
1.0
4.5634 0.0000 0.0000
0.0000 4.5634 0.0000
0.0000 0.0000 4.5634
Nb Ga P
1 1 3
Direct
0.0000 0.0000 0.0000 Nb
0.5000 0.5000 0.5000 Ga
0.0000 0.5000 0.5000 P
0.5000 0.0000 0.5000 P
0.5000 0.5000 0.0000 P

---

4.
Nb8Ga2P | Alexandria via LeMat-Bulk | PBE-GGA | relaxed; E = -8.613 eV per atom; volume = 190.1 Å³ per cell; magnetic moment = 0.0 Bohr magnetons per cell
1.0
7.7452 -2.3679 0.0000
7.7452 2.3679 0.0000
-0.4956 0.0000 5.1823
Nb Ga P
8 2 1
Direct
0.0415 0.0415 0.2454 Nb
0.2311 0.2311 0.3402 Nb
0.3319 0.3319 0.9150 Nb
0.4131 0.4131 0.4637 Nb
0.5869 0.5869 0.5363 Nb
0.6681 0.6681 0.0850 Nb
0.7689 0.7689 0.6598 Nb
0.9585 0.9585 0.7546 Nb
0.1516 0.1516 0.7918 Ga
0.8484 0.8484 0.2082 Ga
0.5000 0.5000 0.0000 P

---

5.
NbGa2P | Alexandria via LeMat-Bulk | PBE-GGA | relaxed; E = -5.279 eV per atom; volume = 274.3 Å³ per cell; magnetic moment = 0.0 Bohr magnetons per cell
1.0
7.2927 0.0000 0.0000
0.0000 7.2927 0.0000
0.0000 0.0000 5.1571
Nb Ga P
4 8 4
Direct
0.0000 0.0000 0.0000 Nb
0.0000 0.5000 0.2500 Nb
0.5000 0.0000 0.7500 Nb
0.5000 0.5000 0.5000 Nb
0.2202 0.2500 0.6250 Ga
0.2500 0.7202 0.8750 Ga
0.2500 0.7798 0.3750 Ga
0.2798 0.2500 0.1250 Ga
0.7202 0.7500 0.1250 Ga
0.7500 0.2202 0.3750 Ga
0.7500 0.2798 0.8750 Ga
0.7798 0.7500 0.6250 Ga
0.0000 0.0000 0.5000 P
0.0000 0.5000 0.7500 P
0.5000 0.0000 0.2500 P
0.5000 0.5000 0.0000 P

---

6.
NbGaP2 | Alexandria via LeMat-Bulk | PBE-GGA | relaxed; E = -6.071 eV per atom; volume = 351.3 Å³ per cell; magnetic moment = 0.0 Bohr magnetons per cell
1.0
5.7499 0.0000 0.0000
0.0000 5.7499 0.0000
0.0000 0.0000 10.6262
Nb Ga P
4 4 8
Direct
0.0000 0.0000 0.0000 Nb
0.0000 0.5000 0.2500 Nb
0.5000 0.0000 0.7500 Nb
0.5000 0.5000 0.5000 Nb
0.0000 0.0000 0.5000 Ga
0.0000 0.5000 0.7500 Ga
0.5000 0.0000 0.2500 Ga
0.5000 0.5000 0.0000 Ga
0.2471 0.2500 0.6250 P
0.2500 0.7471 0.8750 P
0.2500 0.7529 0.3750 P
0.2529 0.2500 0.1250 P
0.7471 0.7500 0.1250 P
0.7500 0.2471 0.3750 P
0.7500 0.2529 0.8750 P
0.7529 0.7500 0.6250 P

---

7.
Nb2GaP2 | Alexandria via LeMat-Bulk | PBE-GGA | relaxed; E = -7.264 eV per atom; volume = 157.2 Å³ per cell; magnetic moment = 0.0 Bohr magnetons per cell
1.0
6.9581 0.0000 0.0000
0.0000 6.9581 0.0000
0.0000 0.0000 3.2470
Nb Ga P
4 2 4
Direct
0.1576 0.3424 0.0000 Nb
0.3424 0.8424 0.0000 Nb
0.6576 0.1576 0.0000 Nb
0.8424 0.6576 0.0000 Nb
0.0000 0.0000 0.5000 Ga
0.5000 0.5000 0.5000 Ga
0.1362 0.6362 0.5000 P
0.3638 0.1362 0.5000 P
0.6362 0.8638 0.5000 P
0.8638 0.3638 0.5000 P

---

8.
NbGaPS2 | Alexandria via LeMat-Bulk | PBE-GGA | relaxed; E = -4.634 eV per atom; energy relative to the lowest polymorph listed for this composition = 846 meV per atom; volume = 96.3 Å³ per cell; E_form (uncorrected) = 346 kJ/mol of formula units; magnetic moment = 0.0 Bohr magnetons per cell
1.0
4.5705 0.0000 0.0000
0.0000 4.5705 0.0000
0.0000 0.0000 4.6113
Nb Ga P S
1 1 1 2
Direct
0.0000 0.0000 0.0000 Nb
0.5000 0.5000 0.5000 Ga
0.5000 0.5000 0.0000 P
0.0000 0.5000 0.5000 S
0.5000 0.0000 0.5000 S

---

9.
NbGaP2S | Alexandria via LeMat-Bulk | PBE-GGA | relaxed; E = -4.733 eV per atom; energy relative to the lowest polymorph listed for this composition = 752 meV per atom; volume = 97.6 Å³ per cell; E_form (uncorrected) = 423 kJ/mol of formula units; magnetic moment = 1.7 Bohr magnetons per cell
1.0
4.5596 0.0000 0.0000
0.0000 4.5596 0.0000
0.0000 0.0000 4.6937
Nb Ga P S
1 1 2 1
Direct
0.0000 0.0000 0.0000 Nb
0.5000 0.5000 0.5000 Ga
0.0000 0.5000 0.5000 P
0.5000 0.0000 0.5000 P
0.5000 0.5000 0.0000 S

---

10.
Nb2GaPS | Alexandria via LeMat-Bulk | PBE-GGA | relaxed; E = -6.046 eV per atom; volume = 97.8 Å³ per cell; E_form (uncorrected) = 238 kJ/mol of formula units; magnetic moment = 0.0 Bohr magnetons per cell
1.0
4.7274 0.0000 0.0000
0.0000 4.7274 0.0000
0.0000 0.0000 4.3770
Nb Ga P S
2 1 1 1
Direct
0.0000 0.5000 0.0000 Nb
0.5000 0.0000 0.0000 Nb
0.0000 0.0000 0.5000 Ga
0.0000 0.0000 0.0000 P
0.5000 0.5000 0.5000 S

---

11.
NbGaPS2 | Alexandria via LeMat-Bulk | PBE-GGA | relaxed; E = -5.480 eV per atom; energy relative to the lowest polymorph listed for this composition = 0 meV per atom; volume = 114.7 Å³ per cell; E_form (uncorrected) = -62 kJ/mol of formula units; magnetic moment = 0.0 Bohr magnetons per cell
1.0
4.8268 0.0000 0.0000
0.0000 4.8268 0.0000
0.0000 0.0000 4.9218
Nb Ga P S
1 1 1 2
Direct
0.0000 0.0000 0.0000 Nb
0.5000 0.5000 0.5000 Ga
0.0000 0.0000 0.5000 P
0.0000 0.5000 0.0000 S
0.5000 0.0000 0.0000 S

---

12.
NbGaP2S | Alexandria via LeMat-Bulk | PBE-GGA | relaxed; E = -5.484 eV per atom; energy relative to the lowest polymorph listed for this composition = 0 meV per atom; volume = 114.5 Å³ per cell; E_form (uncorrected) = 60 kJ/mol of formula units; magnetic moment = 0.0 Bohr magnetons per cell
1.0
4.8911 0.0000 0.0000
0.0000 4.8911 0.0000
0.0000 0.0000 4.7870
Nb Ga P S
1 1 2 1
Direct
0.0000 0.0000 0.0000 Nb
0.5000 0.5000 0.5000 Ga
0.0000 0.5000 0.0000 P
0.5000 0.0000 0.0000 P
0.0000 0.0000 0.5000 S

---

Q: Look up the magnetic moment of the fifth one.
A: 0.0 Bohr magnetons per cell